[1]
BaLa2PbN: optimized geometry, PBE.

Geometry as POSCAR:
```
BaLa2PbN
1.0
5.140 0.000 0.000
0.000 5.140 0.000
0.000 0.000 5.605
La N Pb Ba
2 1 1 1
Cartesian
2.570 0.000 0.000 La
0.000 2.570 0.000 La
0.000 0.000 0.000 N
2.570 2.570 2.803 Pb
0.000 0.000 2.803 Ba
```

Calculated values
Volume in Å³/cell: 148.1
Raw formation energy in eV per atom: -0.77
DOS(E_F) in states/eV per cell: 2.3

[2]
RbBaLaN2: optimized geometry, PBE.

Geometry as POSCAR:
```
RbBaLaN2
1.0
-4.724 -1.562 0.226
1.502 -4.909 -2.532
0.885 -2.030 4.461
N Ba La Rb
2 1 1 1
Cartesian
0.443 -1.015 2.230 N
-2.362 -0.781 0.113 N
0.000 0.000 0.000 Ba
-1.168 -4.251 1.078 La
0.751 -2.454 -1.266 Rb
```

Calculated values
Volume in Å³/cell: 142.0
Raw formation energy in eV per atom: 1.46
DOS(E_F) in states/eV per cell: 8.4

[3]
BaLa2ReN: optimized geometry, PBE.

Geometry as POSCAR:
```
BaLa2ReN
1.0
5.895 0.000 0.000
0.000 4.892 0.000
0.000 0.000 5.895
Ba N La Re
1 1 2 1
Cartesian
0.000 0.000 0.000 Ba
2.947 2.446 2.947 N
0.000 0.000 2.947 La
2.947 0.000 0.000 La
0.000 2.446 0.000 Re
```

Calculated values
Volume in Å³/cell: 170.0
Raw formation energy in eV per atom: 2.44
DOS(E_F) in states/eV per cell: 5.7

[4]
Ba2LaReN4: optimized geometry, PBE.

Geometry as POSCAR:
```
Ba2LaReN4
1.0
5.935 -0.031 -0.047
-2.556 5.356 0.047
-2.556 -2.112 4.922
N Ba La Re
4 2 1 1
Cartesian
1.603 1.005 1.987 N
-1.960 -0.060 3.203 N
-1.604 2.730 3.735 N
3.604 2.751 0.920 N
0.000 0.000 0.000 Ba
0.411 3.473 1.242 Ba
0.411 -0.261 3.680 La
-2.556 1.622 2.484 Re
```

Calculated values
Volume in Å³/cell: 155.7
Raw formation energy in eV per atom: -0.67
DOS(E_F) in states/eV per cell: 1.5